*A*
Here is a relaxed structure of Tl2GaOs from the Alexandria database. Energies are from PBE.

The value obtained for the density of states at the Fermi level is 1.1474 states/eV/atom. The crystal system is tetragonal.

It has space group I-42d (No. 122), with a = 4.106 Å, b = 4.106 Å, c = 20.749 Å, α = 90.00°, β = 90.00° and γ = 90.00°. The distinct sites, in fractional coordinates, are Tl at (0.245, 0.250, 0.125), Ga at (0.000, 0.000, 0.500) and Os at (0.000, 0.000, 0.000).

---

*B*
Here is a relaxed structure of Tl2GaOs from the Alexandria database. Energies are from PBE.

The value obtained for the density of states at the Fermi level is 0.6946 states/eV/atom. The crystal system is cubic.

It has space group Fm-3m (No. 225), with a = 6.937 Å, b = 6.937 Å, c = 6.937 Å, α = 90.00°, β = 90.00° and γ = 90.00°. The distinct sites, in fractional coordinates, are Tl at (0.250, 0.250, 0.250), Ga at (0.000, 0.000, 0.000) and Os at (0.000, 0.000, 0.500).

---

*B* is favored, and the nearest alternative lies 49 meV/atom above it.

---

*A*
Here is a relaxed structure of Tm6GaOs from the Alexandria database. Energies are from PBE.

The value obtained for the density of states at the Fermi level is 1.1671 states/eV/atom. The crystal system is monoclinic.

It has space group C2/m (No. 12), with a = 6.697 Å, b = 11.233 Å, c = 6.618 Å, α = 90.00°, β = 113.47° and γ = 90.00°. The distinct sites, in fractional coordinates, are Tm at (0.238, 0.187, 0.245), Tm at (0.240, 0.000, 0.760), Ga at (0.000, 0.500, 0.500) and Os at (0.000, 0.000, 0.000).

---

*B*
Here is a relaxed structure of Tm6GaOs from the Alexandria database. Energies are from PBE.

The value obtained for the density of states at the Fermi level is 1.0178 states/eV/atom. The crystal system is tetragonal.

It has space group I4/mmm (No. 139), with a = 4.829 Å, b = 4.829 Å, c = 17.643 Å, α = 90.00°, β = 90.00° and γ = 90.00°. The distinct sites, in fractional coordinates, are Tm at (0.000, 0.000, 0.249), Tm at (0.000, 0.500, 0.097), Ga at (0.000, 0.000, 0.000) and Os at (0.000, 0.000, 0.500).

---

*B* is favored, and the nearest alternative lies 126 meV/atom above it.

---

*A*
Here is a relaxed structure of Tm2GaOs from the Alexandria database. Energies are from PBE.

The value obtained for the density of states at the Fermi level is 0.3456 states/eV/atom. The crystal system is tetragonal.

It has space group P4/mmm (No. 123), with a = 3.438 Å, b = 3.438 Å, c = 6.940 Å, α = 90.00°, β = 90.00° and γ = 90.00°. The distinct sites, in fractional coordinates, are Tm at (0.000, 0.000, 0.234), Ga at (0.500, 0.500, 0.500) and Os at (0.500, 0.500, 0.000).

---

*B*
Here is a relaxed structure of Tm2GaOs from the Alexandria database. Energies are from PBE.

The value obtained for the density of states at the Fermi level is 0.9757 states/eV/atom. The crystal system is trigonal.

It has space group R-3m (No. 166, hexagonal axes), with a = 3.3405 Å, b = 3.3405 Å, c = 30.2395 Å, α = 90.00°, β = 90.00° and γ = 120.00°. The distinct sites, in fractional coordinates, are Tm at (0.0000, 0.0000, 0.0996), Ga at (0.0000, 0.0000, 0.0000) and Os at (0.0000, 0.0000, 0.5000).

---

*C*
Here is a relaxed structure of Tm2GaOs from the Alexandria database. Energies are from PBE.

The value obtained for the density of states at the Fermi level is 0.7387 states/eV/atom. The crystal system is cubic.

It has space group Fm-3m (No. 225), with a = 6.868 Å, b = 6.868 Å, c = 6.868 Å, α = 90.00°, β = 90.00° and γ = 90.00°. The distinct sites, in fractional coordinates, are Tm at (0.250, 0.250, 0.250), Ga at (0.000, 0.000, 0.000) and Os at (0.000, 0.000, 0.500).

---

*A* is favored, and the nearest alternative lies 61 meV/atom above it.

---

*A*
Here is a relaxed structure of UGa2Os from the Alexandria database. Energies are from PBE.

The value obtained for the density of states at the Fermi level is 1.1988 states/eV/atom. The crystal system is cubic.

It has space group Fm-3m (No. 225), with a = 6.519 Å, b = 6.519 Å, c = 6.519 Å, α = 90.00°, β = 90.00° and γ = 90.00°. The distinct sites, in fractional coordinates, are U at (0.000, 0.000, 0.000), Ga at (0.250, 0.250, 0.250) and Os at (0.000, 0.000, 0.500).

---

*B*
Here is a relaxed structure of UGa2Os from the Alexandria database. Energies are from PBE.

The value obtained for the density of states at the Fermi level is 1.2866 states/eV/atom. The crystal system is tetragonal.

It has space group P4/mmm (No. 123), with a = 3.090 Å, b = 3.090 Å, c = 7.270 Å, α = 90.00°, β = 90.00° and γ = 90.00°. The distinct sites, in fractional coordinates, are U at (0.000, 0.000, 0.000), Ga at (0.500, 0.500, 0.302) and Os at (0.000, 0.000, 0.500).

---

*A* is favored, and the nearest alternative lies 16 meV/atom above it.

---

*A*
Here is a relaxed structure of V3GaOs from the Alexandria database. Energies are from PBE.

The value obtained for the density of states at the Fermi level is 1.1989 states/eV/atom. The crystal system is cubic.

It has space group Pm-3m (No. 221), with a = 4.586 Å, b = 4.586 Å, c = 4.586 Å, α = 90.00°, β = 90.00° and γ = 90.00°. The distinct sites, in fractional coordinates, are V at (0.000, 0.000, 0.500), Ga at (0.500, 0.500, 0.500) and Os at (0.000, 0.000, 0.000).

---

*B*
Here is a relaxed structure of V3GaOs from the Alexandria database. Energies are from PBE.

The value obtained for the density of states at the Fermi level is 1.5838 states/eV/atom. The crystal system is cubic.

It has space group Pm-3m (No. 221), with a = 4.373 Å, b = 4.373 Å, c = 4.373 Å, α = 90.00°, β = 90.00° and γ = 90.00°. The distinct sites, in fractional coordinates, are V at (0.000, 0.000, 0.500), Ga at (0.000, 0.000, 0.000) and Os at (0.500, 0.500, 0.500).

---

*A* is favored, and the nearest alternative lies 404 meV/atom above it.

---

*A*
Here is a relaxed structure of GaOs3W from the Alexandria database. Energies are from PBE.

The value obtained for the density of states at the Fermi level is 0.9301 states/eV/atom. The crystal system is cubic.

It has space group Pm-3m (No. 221), with a = 4.416 Å, b = 4.416 Å, c = 4.416 Å, α = 90.00°, β = 90.00° and γ = 90.00°. The distinct sites, in fractional coordinates, are Ga at (0.000, 0.000, 0.000), Os at (0.000, 0.000, 0.500) and W at (0.500, 0.500, 0.500).

---

*B*
Here is a relaxed structure of GaOs3W from the Alexandria database. Energies are from PBE.

The value obtained for the density of states at the Fermi level is 2.2003 states/eV/atom. The crystal system is cubic.

It has space group Pm-3m (No. 221), with a = 4.740 Å, b = 4.740 Å, c = 4.740 Å, α = 90.00°, β = 90.00° and γ = 90.00°. The distinct sites, in fractional coordinates, are Ga at (0.000, 0.000, 0.000), Os at (0.000, 0.500, 0.500) and W at (0.500, 0.500, 0.500).

---

*A* is favored, and the nearest alternative lies 354 meV/atom above it.